Below is a relaxed structure of Al3FeSi, with properties calculated at the PBE level.

Cell lengths 4.491, 4.491, 4.491 Å; angles 90.00, 90.00, 90.00 degrees
Space group Pm-3m (No. 221)
One atom of each set of equivalent atoms:
Al (0.000, 0.000, 0.500) x3
Fe (0.000, 0.000, 0.000) x1
Si (0.500, 0.500, 0.500) x1

Results
Formation energy (no corrections)   0.372 eV per atom
ΔE to the lowest computed polymorph   0.0 kJ per mole of atoms
V   18.12 Å³/atom

***

Below is a relaxed structure of LaNd3Ni, with properties calculated at the PBE level.

Cell lengths 7.7655, 7.7655, 6.0944 Å; angles 90.00, 90.00, 120.00 degrees
Space group P6_3/mmc (No. 194)
One atom of each set of equivalent atoms:
La (0.3333, 0.6667, 0.2500) x2
Nd (0.1756, 0.3513, 0.7500) x6
Ni (0.0000, 0.0000, 0.0000) x2

Results
DFT formation energy   -0.037 eV/atom
ΔE to the lowest computed polymorph   8.2 kJ per mole of atoms
V   31.83 Å³/atom

***

Below is a relaxed structure of Cd2TcSe, with properties calculated at the PBE level.

Cell lengths 3.655, 3.655, 5.876 Å; angles 90.00, 90.00, 90.00 degrees
Space group P4/mmm (No. 123)
One atom of each set of equivalent atoms:
Cd (0.000, 0.000, 0.242) x2
Tc (0.500, 0.500, 0.000) x1
Se (0.500, 0.500, 0.500) x1

Results
Formation energy (no corrections)   0.418 eV per atom
V   19.63 Å³/atom

***

Below is a relaxed structure of CrCu2Ag, with properties calculated at the PBE level.

Cell lengths 3.976, 3.976, 7.303 Å; angles 90.00, 90.00, 90.00 degrees
Space group I4/mmm (No. 139)
One atom of each set of equivalent atoms:
Cr (0.000, 0.000, 0.000) x2
Cu (0.000, 0.500, 0.250) x4
Ag (0.000, 0.000, 0.500) x2

Results
DFT formation energy   0.288 eV/atom
ΔE to the lowest computed polymorph   0.5 kJ per mole of atoms
V   14.43 Å³/atom

***

Below is a relaxed structure of LaGdRh, with properties calculated at the PBE level.

Cell lengths 6.982, 6.982, 6.982 Å; angles 90.00, 90.00, 90.00 degrees
Space group F-43m (No. 216)
One atom of each set of equivalent atoms:
La (0.000, 0.000, 0.000) x4
Gd (0.000, 0.000, 0.500) x4
Rh (0.250, 0.250, 0.750) x4

Results
DFT formation energy   -0.498 eV/atom
ΔE to the lowest computed polymorph   2.4 kJ per mole of atoms
V   28.36 Å³/atom

***

Below is a relaxed structure of YNi6B2, with properties calculated at the PBE level.

Cell lengths 9.808, 9.808, 9.808 Å; angles 90.00, 90.00, 90.00 degrees
Space group Fd-3m (No. 227, origin choice 2)
One atom of each set of equivalent atoms:
Y (0.125, 0.125, 0.125) x8
Ni (0.083, 0.375, 0.875) x48
B (0.000, 0.000, 0.500) x16

Results
DFT formation energy   -0.161 eV/atom
V   13.11 Å³/atom

***

Below is a relaxed structure of TlGaTe, with properties calculated at the PBE level.

Cell lengths 4.5630, 4.5630, 5.2118 Å; angles 90.00, 90.00, 120.00 degrees
Space group P3m1 (No. 156)
One atom of each set of equivalent atoms:
Tl (0.0000, 0.0000, 0.0000) x1
Ga (0.3333, 0.6667, 0.6520) x1
Te (0.6667, 0.3333, 0.3995) x1

Results
Formation energy (no corrections)   -0.197 eV per atom
ΔE to the lowest computed polymorph   0.0 kJ per mole of atoms
V   31.32 Å³/atom

***

Below is a relaxed structure of NdY2MoN4, with properties calculated at the PBE level.

Cell lengths 3.444, 11.829, 11.891 Å; angles 90.00, 90.00, 90.00 degrees
Space group Cmcm (No. 63)
One atom of each set of equivalent atoms:
Nd (0.000, 0.097, 0.250) x4
Y (0.000, 0.370, 0.039) x8
Mo (0.000, 0.162, 0.750) x4
N (0.000, 0.000, 0.000) x4
N (0.000, 0.263, 0.623) x8
N (0.000, 0.439, 0.250) x4

Results
Formation energy (no corrections)   -1.122 eV per atom
V   15.14 Å³/atom

***

Below is a relaxed structure of Tb2ScI, with properties calculated at the PBE level.

Cell lengths 3.604, 3.604, 9.145 Å; angles 90.00, 90.00, 90.00 degrees
Space group P4/mmm (No. 123)
One atom of each set of equivalent atoms:
Tb (0.000, 0.000, 0.244) x2
Sc (0.500, 0.500, 0.000) x1
I (0.500, 0.500, 0.500) x1

Results
Formation energy (no corrections)   -0.267 eV per atom
ΔE to the lowest computed polymorph   0.0 kJ per mole of atoms
V   29.69 Å³/atom

***

Below is a relaxed structure of SnSb2TeW, with properties calculated at the PBE level.

Cell lengths 5.300, 5.300, 5.332 Å; angles 90.00, 90.00, 90.00 degrees
Space group P4/mmm (No. 123)
One atom of each set of equivalent atoms:
Sn (0.000, 0.000, 0.000) x1
Sb (0.000, 0.500, 0.500) x2
Te (0.500, 0.500, 0.000) x1
W (0.500, 0.500, 0.500) x1

Results
Formation energy (no corrections)   0.658 eV per atom
ΔE to the lowest computed polymorph   0.0 kJ per mole of atoms
V   29.95 Å³/atom

***

Below is a relaxed structure of NaSb2OsO8, with properties calculated at the PBE level.

Cell lengths 4.793, 6.372, 4.803 Å; angles 90.00, 91.99, 90.00 degrees
Space group P2/m (No. 10)
One atom of each set of equivalent atoms:
Na (0.000, 0.000, 0.000) x1
Sb (0.500, 0.245, 0.500) x2
Os (0.000, 0.500, 0.000) x1
O (0.203, 0.280, 0.200) x4
O (0.296, 0.500, 0.700) x2
O (0.316, 0.000, 0.680) x2

Results
Formation energy (no corrections)   -1.233 eV per atom
V   12.22 Å³/atom

***

Below is a relaxed structure of ErNp3S4, with properties calculated at the PBE level.

Cell lengths 5.512, 5.512, 11.023 Å; angles 90.00, 90.00, 90.00 degrees
Space group I4/mmm (No. 139)
One atom of each set of equivalent atoms:
Er (0.000, 0.000, 0.000) x2
Np (0.000, 0.000, 0.500) x2
Np (0.000, 0.500, 0.250) x4
S (0.000, 0.000, 0.250) x4
S (0.000, 0.500, 0.000) x4

Results
Formation energy (no corrections)   -1.516 eV per atom
V   20.93 Å³/atom

***

- V of number 12 (ErNp3S4)?
  20.93 Å³/atom

***

- Which of these has the highest V?
  LaNd3Ni

***

- V of number 1 (Al3FeSi)?
  18.12 Å³/atom